No. 1
ZrB2Se | GGA-PBEsol | optimized geometry

Cell and atoms, written as POSCAR:
```
ZrB2Se
1.0
-2.946 2.946 3.141
2.946 -2.946 3.141
2.946 2.946 -3.141
Zr B Se
2 4 2
Cartesian
0.000 0.000 0.000
0.000 2.946 1.570
1.473 1.802 -0.785
4.090 1.473 0.785
1.473 1.144 2.356
-1.144 1.473 3.926
2.946 0.000 1.570
0.000 0.000 3.141
```

Computed properties:
SG   I-42d
Raw formation energy   0.417 eV per atom
Crystal system   tetragonal
Calculated volume   109 Å³ per cell



No. 2
Si3SnB | GGA-PBEsol | optimized geometry

Cell and atoms, written as POSCAR:
```
Si3SnB
1.0
5.062 0.000 0.000
0.000 5.062 0.000
0.000 0.000 5.062
Si Sn B
3 1 1
Cartesian
0.000 0.000 2.531
0.000 2.531 0.000
2.531 0.000 0.000
0.000 0.000 0.000
2.531 2.531 2.531
```

Computed properties:
SG   Pm-3m
Raw formation energy   2.203 eV per atom
Crystal system   cubic
Distance to the lowest polymorph of the same formula   1632 meV per atom
Calculated volume   130 Å³ per cell



No. 3
Si3SnB | GGA-PBEsol | optimized geometry

Cell and atoms, written as POSCAR:
```
Si3SnB
1.0
4.265 0.000 0.000
0.000 4.265 0.000
0.000 0.000 4.265
Si Sn B
3 1 1
Cartesian
0.000 0.000 2.132
0.000 2.132 0.000
2.132 0.000 0.000
2.132 2.132 2.132
0.000 0.000 0.000
```

Computed properties:
SG   Pm-3m
Raw formation energy   0.570 eV per atom
Crystal system   cubic
Distance to the lowest polymorph of the same formula   0 meV per atom
Calculated volume   78 Å³ per cell